Entry 1:
GGA-PBE CdPPdCl2, relaxed; density of states at the Fermi level = 5.79 states/eV/f.u.; E_form (uncorrected) = 2.7 eV/f.u.
1.0
5.069 0.000 0.000
0.000 5.069 0.000
0.000 0.000 5.219
Cd P Pd Cl
1 1 1 2
Cartesian
0.000 0.000 0.000 Cd
0.000 0.000 2.610 P
2.535 2.535 2.610 Pd
0.000 2.535 0.000 Cl
2.535 0.000 0.000 Cl



Entry 2:
GGA-PBE YS2I, relaxed; density of states at the Fermi level = 4.24 states/eV/f.u.; E_form (uncorrected) = 1.3 eV/f.u.
1.0
1.912 1.104 9.246
-1.912 1.104 9.246
0.000 -2.208 9.246
Y S I
1 2 1
Cartesian
0.000 0.000 0.000 Y
0.000 0.000 2.535 S
0.000 0.000 25.204 S
0.000 0.000 13.870 I



Entry 3:
GGA-PBE Tl8VS6, relaxed; density of states at the Fermi level = 3.36 states/eV/f.u.; E_form (uncorrected) = -5.5 eV/f.u.
1.0
8.778 0.000 0.000
0.000 9.530 0.000
0.000 0.000 11.060
Tl V S
16 2 12
Cartesian
0.000 1.642 1.039 Tl
0.000 2.895 7.999 Tl
1.779 9.481 5.530 Tl
1.837 7.402 8.674 Tl
2.033 5.685 5.166 Tl
2.356 3.844 10.696 Tl
2.553 2.128 3.144 Tl
2.611 0.049 0.000 Tl
4.389 6.635 2.469 Tl
4.389 7.888 6.569 Tl
6.168 0.049 0.000 Tl
6.226 2.128 3.144 Tl
6.422 3.844 10.696 Tl
6.745 5.685 5.166 Tl
6.942 7.402 8.674 Tl
7.000 9.481 5.530 Tl
0.000 6.694 1.844 V
4.389 2.835 7.374 V
0.000 0.126 9.553 S
0.000 4.917 3.114 S
0.000 5.914 7.152 S
0.000 8.549 2.972 S
1.809 6.635 0.601 S
2.581 2.894 6.132 S
4.389 0.981 8.502 S
4.389 3.616 1.622 S
4.389 4.612 8.644 S
4.389 9.404 4.023 S
6.198 2.894 6.132 S
6.970 6.635 0.601 S



Entry 4:
GGA-PBE LiPrRhPb, relaxed; density of states at the Fermi level = 5.21 states/eV/f.u.; formation enthalpy at 0 K = -0.468 eV/atom
1.0
0.000 3.474 3.474
3.474 0.000 3.474
3.474 3.474 0.000
Li Pr Rh Pb
1 1 1 1
Cartesian
0.000 0.000 0.000 Li
5.212 5.212 5.212 Pr
3.474 3.474 3.474 Rh
1.737 1.737 1.737 Pb